[1]
This record from Alexandria via LeMat-Bulk describes a geometry-optimized Na2LiGaAs2 structure. The functional is PBE.

- energy of formation (kJ/mol of atoms) = -52.3

Unit cell a=5.863 b=6.257 c=8.222 alpha=112.36 beta=110.89 gamma=90.00
Element x y z (fractional)
Na (0.414, 0.177, 0.353)
Na (0.586, 0.823, 0.647)
Na (0.060, 0.323, 0.647)
Na (0.940, 0.677, 0.353)
Li (0.000, 0.750, 0.000)
Li (0.000, 0.250, 0.000)
Ga (0.500, 0.750, 0.000)
Ga (0.500, 0.250, 0.000)
As (0.838, 0.107, 0.213)
As (0.376, 0.607, 0.213)
As (0.624, 0.393, 0.787)
As (0.162, 0.893, 0.787)

=====

[2]
This record from Alexandria via LeMat-Bulk describes a geometry-optimized Na2LiGaAs2 structure. The functional is PBE.

- energy of formation (kJ/mol of atoms) = -54.2

Unit cell a=9.323 b=9.323 c=5.918 alpha=90.00 beta=90.00 gamma=98.66
Element x y z (fractional)
Na (0.428, 0.072, 0.250)
Na (0.072, 0.428, 0.750)
Na (0.572, 0.928, 0.750)
Na (0.324, 0.676, 0.279)
Na (0.824, 0.176, 0.221)
Na (0.676, 0.324, 0.721)
Na (0.176, 0.824, 0.779)
Na (0.928, 0.572, 0.250)
Li (0.381, 0.381, 0.500)
Li (0.119, 0.119, 0.000)
Li (0.619, 0.619, 0.500)
Li (0.881, 0.881, 0.000)
Ga (0.869, 0.869, 0.500)
Ga (0.131, 0.131, 0.500)
Ga (0.631, 0.631, 0.000)
Ga (0.369, 0.369, 0.000)
As (0.107, 0.893, 0.281)
As (0.607, 0.393, 0.219)
As (0.893, 0.107, 0.719)
As (0.393, 0.607, 0.781)
As (0.143, 0.357, 0.250)
As (0.357, 0.143, 0.750)
As (0.857, 0.643, 0.750)
As (0.643, 0.857, 0.250)

=====

[3]
This record from Alexandria via LeMat-Bulk describes a geometry-optimized Li2GaAsO6 structure. The functional is PBE.

- ΔE_f (raw) (eV/f.u.) = -14.09

Unit cell a=5.216 b=6.757 c=6.757 alpha=89.72 beta=76.82 gamma=76.82
Element x y z (fractional)
Li (0.352, 0.757, 0.585)
Li (0.148, 0.415, 0.243)
Li (0.648, 0.243, 0.415)
Li (0.852, 0.585, 0.757)
Ga (0.250, 0.910, 0.090)
Ga (0.750, 0.090, 0.910)
As (0.250, 0.218, 0.782)
As (0.750, 0.782, 0.218)
O (0.160, 0.966, 0.803)
O (0.340, 0.197, 0.034)
O (0.840, 0.034, 0.197)
O (0.660, 0.803, 0.966)
O (0.395, 0.884, 0.329)
O (0.105, 0.671, 0.116)
O (0.605, 0.116, 0.671)
O (0.895, 0.329, 0.884)
O (0.264, 0.484, 0.673)
O (0.236, 0.327, 0.516)
O (0.736, 0.516, 0.327)
O (0.764, 0.673, 0.484)

=====

[4]
This record from Alexandria via LeMat-Bulk describes a geometry-optimized LiGaAs2O6 structure. The functional is PBE.

- ΔE_f (raw) (eV/f.u.) = -13.64

Unit cell a=6.141 b=8.185 c=8.185 alpha=93.00 beta=67.99 gamma=67.99
Element x y z (fractional)
Li (0.250, 0.750, 0.250)
Li (0.750, 0.250, 0.750)
Ga (0.250, 0.250, 0.750)
Ga (0.750, 0.750, 0.250)
As (0.329, 0.831, 0.668)
As (0.171, 0.332, 0.169)
As (0.671, 0.169, 0.332)
As (0.829, 0.668, 0.831)
O (0.131, 0.073, 0.725)
O (0.369, 0.275, 0.927)
O (0.869, 0.927, 0.275)
O (0.631, 0.725, 0.073)
O (0.429, 0.776, 0.426)
O (0.071, 0.574, 0.224)
O (0.571, 0.224, 0.574)
O (0.929, 0.426, 0.776)
O (0.123, 0.724, 0.775)
O (0.377, 0.225, 0.276)
O (0.877, 0.276, 0.225)
O (0.623, 0.775, 0.724)

=====

[5]
This record from Alexandria via LeMat-Bulk describes a geometry-optimized Li2GaAsO4 structure. The functional is PBE.

- ΔE_f (raw) (eV/f.u.) = -13.61

Unit cell a=4.768 b=5.380 c=7.311 alpha=90.00 beta=90.00 gamma=90.00
Element x y z (fractional)
Li (0.485, 0.327, 0.248)
Li (0.485, 0.327, 0.752)
Li (0.985, 0.673, 0.748)
Li (0.985, 0.673, 0.252)
Ga (0.487, 0.846, 0.500)
Ga (0.987, 0.154, 0.000)
As (0.976, 0.236, 0.500)
As (0.476, 0.764, 0.000)
O (0.388, 0.095, 0.000)
O (0.888, 0.905, 0.500)
O (0.357, 0.183, 0.500)
O (0.857, 0.817, 0.000)
O (0.411, 0.695, 0.719)
O (0.911, 0.305, 0.219)
O (0.911, 0.305, 0.781)
O (0.411, 0.695, 0.281)

=====

[6]
This record from Alexandria via LeMat-Bulk describes a geometry-optimized Li2GaAs2Pd5 structure. The functional is PBE.

- energy of formation (kJ/mol of atoms) = -47.1

Unit cell a=3.261 b=10.059 c=10.059 alpha=90.00 beta=90.00 gamma=90.00
Element x y z (fractional)
Li (0.000, 0.671, 0.171)
Li (0.000, 0.329, 0.829)
Li (0.000, 0.171, 0.329)
Li (0.000, 0.829, 0.671)
Ga (0.000, 0.000, 0.000)
Ga (0.000, 0.500, 0.500)
As (0.000, 0.136, 0.636)
As (0.000, 0.864, 0.364)
As (0.000, 0.636, 0.864)
As (0.000, 0.364, 0.136)
Pd (0.500, 0.199, 0.038)
Pd (0.500, 0.801, 0.962)
Pd (0.500, 0.038, 0.801)
Pd (0.500, 0.699, 0.462)
Pd (0.500, 0.962, 0.199)
Pd (0.500, 0.301, 0.538)
Pd (0.500, 0.538, 0.699)
Pd (0.500, 0.462, 0.301)
Pd (0.500, 0.500, 0.000)
Pd (0.500, 0.000, 0.500)

=====

[7]
This record from Alexandria via LeMat-Bulk describes a geometry-optimized LiGaAsRu2 structure. The functional is PBE.

- energy of formation (kJ/mol of atoms) = 40.5

Unit cell a=4.537 b=4.312 c=4.537 alpha=90.00 beta=90.00 gamma=90.00
Element x y z (fractional)
Ru (0.000, 0.000, 0.500)
Ru (0.500, 0.000, 0.000)
As (0.000, 0.000, 0.000)
Ga (0.500, 0.500, 0.500)
Li (0.000, 0.500, 0.000)

=====

[8]
This record from Alexandria via LeMat-Bulk describes a geometry-optimized LiGaAsRu2 structure. The functional is PBE.

- energy of formation (kJ/mol of atoms) = 67.4

Unit cell a=4.567 b=4.567 c=4.908 alpha=90.00 beta=90.00 gamma=90.00
Element x y z (fractional)
Ru (0.000, 0.500, 0.000)
Ru (0.500, 0.000, 0.000)
As (0.000, 0.000, 0.000)
Ga (0.000, 0.000, 0.500)
Li (0.500, 0.500, 0.500)

=====

[9]
This record from Alexandria via LeMat-Bulk describes a geometry-optimized LiGa2AsS6 structure. The functional is PBE.

- ΔE_f (raw) (eV/f.u.) = -4.39

Unit cell a=6.731 b=9.548 c=9.548 alpha=91.27 beta=70.41 gamma=70.41
Element x y z (fractional)
Li (0.250, 0.652, 0.348)
Li (0.750, 0.348, 0.652)
Ga (0.342, 0.800, 0.650)
Ga (0.158, 0.350, 0.200)
Ga (0.658, 0.200, 0.350)
Ga (0.842, 0.650, 0.800)
As (0.250, 0.205, 0.795)
As (0.750, 0.795, 0.205)
S (0.100, 0.034, 0.787)
S (0.400, 0.213, 0.966)
S (0.900, 0.966, 0.213)
S (0.600, 0.787, 0.034)
S (0.425, 0.838, 0.395)
S (0.075, 0.605, 0.162)
S (0.575, 0.162, 0.605)
S (0.925, 0.395, 0.838)
S (0.050, 0.741, 0.620)
S (0.450, 0.380, 0.259)
S (0.950, 0.259, 0.380)
S (0.550, 0.620, 0.741)

=====

[10]
This record from Alexandria via LeMat-Bulk describes a geometry-optimized LiGaAsSe2 structure. The functional is PBE.

- ΔE_f (raw) (eV/f.u.) = 0.65

Unit cell a=5.151 b=5.151 c=4.842 alpha=90.00 beta=90.00 gamma=90.00
Element x y z (fractional)
As (0.000, 0.000, 0.500)
Ga (0.000, 0.000, 0.000)
Se (0.000, 0.500, 0.000)
Se (0.500, 0.000, 0.000)
Li (0.500, 0.500, 0.500)

=====

[11]
This record from Alexandria via LeMat-Bulk describes a geometry-optimized LiGaAsSe2 structure. The functional is PBE.

- ΔE_f (raw) (eV/f.u.) = 1.32

Unit cell a=4.899 b=4.899 c=4.508 alpha=90.00 beta=90.00 gamma=90.00
Element x y z (fractional)
As (0.000, 0.000, 0.500)
Ga (0.500, 0.500, 0.500)
Se (0.000, 0.500, 0.000)
Se (0.500, 0.000, 0.000)
Li (0.000, 0.000, 0.000)

=====

[12]
This record from Alexandria via LeMat-Bulk describes a geometry-optimized LiGaAs2Se structure. The functional is PBE.

- ΔE_f (raw) (eV/f.u.) = 1.55

Unit cell a=4.911 b=4.911 c=5.250 alpha=90.00 beta=90.00 gamma=90.00
Element x y z (fractional)
As (0.000, 0.500, 0.000)
As (0.500, 0.000, 0.000)
Ga (0.000, 0.000, 0.000)
Se (0.000, 0.000, 0.500)
Li (0.500, 0.500, 0.500)